1.
First-principles (GGA-PBE) data for crystalline Na2MgPb3 at its relaxed geometry, as listed in Alexandria.

CIF file:
```
data_Na2MgPb3
_cell_length_a 6.308
_cell_length_b 10.875
_cell_length_c 10.343
_cell_angle_alpha 90.00
_cell_angle_beta 102.09
_cell_angle_gamma 90.00
_symmetry_space_group_name_H-M 'C 1 2/m 1'
_symmetry_Int_Tables_number 12
loop_
_symmetry_equiv_pos_as_xyz
'x,y,z'
'-x,-y,-z'
'-x,y,-z'
'x,-y,z'
'x+1/2,y+1/2,z'
'-x+1/2,-y+1/2,-z'
'-x+1/2,y+1/2,-z'
'x+1/2,-y+1/2,z'
loop_
_atom_site_label
_atom_site_fract_x
_atom_site_fract_y
_atom_site_fract_z
Na1 0.000 0.000 0.000
Na2 0.000 0.163 0.500
Na3 0.000 0.500 0.500
Mg1 0.000 0.333 0.000
Pb1 0.222 0.500 0.239
Pb2 0.241 0.321 0.761
```



2.
First-principles (GGA-PBE) data for crystalline MnTl2Ni at its relaxed geometry, as listed in Alexandria.

CIF file:
```
data_MnTl2Ni
_cell_length_a 3.160
_cell_length_b 4.517
_cell_length_c 11.179
_cell_angle_alpha 90.00
_cell_angle_beta 90.00
_cell_angle_gamma 90.00
_symmetry_space_group_name_H-M 'I m m 2'
_symmetry_Int_Tables_number 44
loop_
_symmetry_equiv_pos_as_xyz
'x,y,z'
'-x,-y,z'
'-x,y,z'
'x,-y,z'
'x+1/2,y+1/2,z+1/2'
'-x+1/2,-y+1/2,z+1/2'
'-x+1/2,y+1/2,z+1/2'
'x+1/2,-y+1/2,z+1/2'
loop_
_atom_site_label
_atom_site_fract_x
_atom_site_fract_y
_atom_site_fract_z
Mn1 0.000 0.000 0.000
Tl1 0.000 0.000 0.404
Tl2 0.000 0.500 0.191
Ni1 0.000 0.500 0.673
```



Offset from the most stable computed form: 61, 72 (meV/atom)
ΔH_f (0 K): -0.08, 0.36 (eV/atom)